Density functional theory data (PBE-GGA) for Ho3Er2Zr after structural relaxation.

a b c (Å): 8.719 8.719 13.853
angles (deg): 115.76 115.76 22.21
Fractional coordinates of all 12 atoms:
Ho  0.034  0.034  0.221
Ho  0.252  0.252  0.702
Ho  0.401  0.401  0.971
Ho  0.599  0.599  0.029
Ho  0.748  0.748  0.298
Ho  0.966  0.966  0.779
Er  0.178  0.178  0.877
Er  0.351  0.351  0.531
Er  0.649  0.649  0.469
Er  0.822  0.822  0.123
Zr  0.434  0.434  0.353
Zr  0.566  0.566  0.647

Values from the calculation:
The energy above the most stable polymorph in this dataset comes out at 0.1200 eV per atom. The value obtained for the energy of formation from the pure elements is 0.17 eV per atom. As for the space group: C2/m, No. 12.

Density functional theory data (PBE-GGA) for HoErZr2 after structural relaxation.

a b c (Å): 11.775 11.775 11.775
angles (deg): 15.92 15.92 15.92
Fractional coordinates of all 4 atoms:
Ho  0.000  0.000  0.000
Er  0.500  0.500  0.500
Zr  0.090  0.090  0.090
Zr  0.910  0.910  0.910

Values from the calculation:
The energy above the most stable polymorph in this dataset comes out at 0.2097 eV per atom. The value obtained for the energy of formation from the pure elements is 0.28 eV per atom. As for the space group: R-3m, No. 166.

Density functional theory data (PBE-GGA) for Ho7Er12Zr after structural relaxation.

a b c (Å): 8.594 8.594 8.594
angles (deg): 90.47 90.47 90.47
Fractional coordinates of all 20 atoms:
Ho  0.000  0.000  0.000
Ho  0.167  0.575  0.478
Ho  0.425  0.522  0.833
Ho  0.478  0.167  0.575
Ho  0.522  0.833  0.425
Ho  0.575  0.478  0.167
Ho  0.833  0.425  0.522
Er  0.048  0.377  0.147
Er  0.131  0.272  0.732
Er  0.147  0.048  0.377
Er  0.268  0.869  0.728
Er  0.272  0.732  0.131
Er  0.377  0.147  0.048
Er  0.623  0.853  0.952
Er  0.728  0.268  0.869
Er  0.732  0.131  0.272
Er  0.853  0.952  0.623
Er  0.869  0.728  0.268
Er  0.952  0.623  0.853
Zr  0.500  0.500  0.500

Values from the calculation:
The energy above the most stable polymorph in this dataset comes out at 0.0000 eV per atom. The value obtained for the energy of formation from the pure elements is 0.27 eV per atom. As for the space group: R-3, No. 148.

Density functional theory data (PBE-GGA) for Ho4Er5Zr after structural relaxation.

a b c (Å): 7.878 7.878 7.878
angles (deg): 97.82 97.82 136.72
Fractional coordinates of all 10 atoms:
Ho  0.000  0.321  0.321
Ho  0.000  0.679  0.679
Ho  0.321  0.000  0.321
Ho  0.679  0.000  0.679
Er  0.235  0.235  0.000
Er  0.343  0.343  0.630
Er  0.343  0.713  0.000
Er  0.713  0.343  0.000
Er  0.713  0.713  0.370
Zr  0.771  0.771  0.000

Values from the calculation:
The energy above the most stable polymorph in this dataset comes out at 0.2122 eV per atom. The value obtained for the energy of formation from the pure elements is 0.25 eV per atom. As for the space group: I4mm, No. 107.

Density functional theory data (PBE-GGA) for Ho4Er2Zr after structural relaxation.

a b c (Å): 3.496 3.496 19.557
angles (deg): 90.00 90.00 120.00
Fractional coordinates of all 7 atoms:
Ho  0.000  0.000  0.000
Ho  0.000  0.000  0.266
Ho  0.667  0.333  0.417
Ho  0.667  0.333  0.707
Er  0.333  0.667  0.561
Er  0.333  0.667  0.851
Zr  0.333  0.667  0.132

Values from the calculation:
The value obtained for the energy of formation from the pure elements is 0.04 eV per atom. As for the space group: P3m1, No. 156.

Density functional theory data (PBE-GGA) for Ho6Er12Zr after structural relaxation.

a b c (Å): 8.386 8.386 8.386
angles (deg): 88.54 88.54 88.54
Fractional coordinates of all 19 atoms:
Ho  0.199  0.754  0.591
Ho  0.246  0.409  0.801
Ho  0.409  0.801  0.246
Ho  0.591  0.199  0.754
Ho  0.754  0.591  0.199
Ho  0.801  0.246  0.409
Er  0.038  0.942  0.278
Er  0.058  0.722  0.962
Er  0.149  0.488  0.301
Er  0.278  0.038  0.942
Er  0.301  0.149  0.488
Er  0.488  0.301  0.149
Er  0.512  0.699  0.851
Er  0.699  0.851  0.512
Er  0.722  0.962  0.058
Er  0.851  0.512  0.699
Er  0.942  0.278  0.038
Er  0.962  0.058  0.722
Zr  0.500  0.500  0.500

Values from the calculation:
The energy above the most stable polymorph in this dataset comes out at 0.0000 eV per atom. The value obtained for the energy of formation from the pure elements is 0.16 eV per atom. As for the space group: R-3, No. 148.

Density functional theory data (PBE-GGA) for Ho3Er5Zr after structural relaxation.

a b c (Å): 8.040 8.040 11.415
angles (deg): 110.29 110.29 88.80
Fractional coordinates of all 18 atoms:
Ho  0.000  0.000  0.000
Ho  0.000  0.000  0.500
Ho  0.210  0.210  0.340
Ho  0.330  0.330  0.771
Ho  0.670  0.670  0.229
Ho  0.790  0.790  0.660
Er  0.106  0.605  0.234
Er  0.279  0.721  0.000
Er  0.323  0.323  0.059
Er  0.395  0.894  0.766
Er  0.487  0.487  0.621
Er  0.513  0.513  0.379
Er  0.605  0.106  0.234
Er  0.677  0.677  0.941
Er  0.721  0.279  0.000
Er  0.894  0.395  0.766
Zr  0.082  0.082  0.799
Zr  0.918  0.918  0.201

Values from the calculation:
The value obtained for the energy of formation from the pure elements is 0.60 eV per atom. As for the space group: C2/m, No. 12.

Density functional theory data (PBE-GGA) for Ho3Er12Zr after structural relaxation.

a b c (Å): 3.611 5.628 24.027
angles (deg): 90.00 90.00 90.00
Fractional coordinates of all 16 atoms:
Ho  0.000  0.000  0.000
Ho  0.000  0.000  0.270
Ho  0.000  0.000  0.730
Er  0.000  0.500  0.112
Er  0.000  0.500  0.365
Er  0.000  0.500  0.635
Er  0.000  0.500  0.888
Er  0.500  0.000  0.139
Er  0.500  0.000  0.394
Er  0.500  0.000  0.606
Er  0.500  0.000  0.861
Er  0.500  0.500  0.000
Er  0.500  0.500  0.234
Er  0.500  0.500  0.500
Er  0.500  0.500  0.766
Zr  0.000  0.000  0.500

Values from the calculation:
The value obtained for the energy of formation from the pure elements is 0.11 eV per atom. As for the space group: Pmmm, No. 47.

Density functional theory data (PBE-GGA) for Ho4Er8Zr after structural relaxation.

a b c (Å): 7.008 7.356 8.022
angles (deg): 95.67 99.87 91.60
Fractional coordinates of all 13 atoms:
Ho  0.000  0.000  0.000
Ho  0.000  0.500  0.000
Ho  0.500  0.000  0.000
Ho  0.500  0.500  0.000
Er  0.164  0.182  0.675
Er  0.190  0.676  0.663
Er  0.307  0.301  0.313
Er  0.308  0.738  0.269
Er  0.692  0.262  0.731
Er  0.693  0.699  0.687
Er  0.810  0.324  0.337
Er  0.836  0.818  0.325
Zr  0.500  0.000  0.500

Values from the calculation:
The value obtained for the energy of formation from the pure elements is 0.24 eV per atom. As for the space group: P-1, No. 2.

Density functional theory data (PBE-GGA) for Ho3Er2Zr after structural relaxation.

a b c (Å): 6.954 3.444 14.632
angles (deg): 90.00 90.02 90.00
Fractional coordinates of all 12 atoms:
Ho  0.116  0.250  0.410
Ho  0.365  0.750  0.912
Ho  0.379  0.750  0.250
Ho  0.621  0.250  0.750
Ho  0.635  0.250  0.088
Ho  0.884  0.750  0.590
Er  0.115  0.250  0.090
Er  0.365  0.750  0.588
Er  0.635  0.250  0.412
Er  0.885  0.750  0.910
Zr  0.128  0.250  0.750
Zr  0.872  0.750  0.250

Values from the calculation:
The energy above the most stable polymorph in this dataset comes out at 0.0000 eV per atom. The value obtained for the energy of formation from the pure elements is 0.05 eV per atom. As for the space group: P2_1/m, No. 11.

Density functional theory data (PBE-GGA) for Ho2ErZr after structural relaxation.

a b c (Å): 6.522 6.522 12.124
angles (deg): 117.83 117.83 30.81
Fractional coordinates of all 8 atoms:
Ho  0.117  0.117  0.212
Ho  0.127  0.127  0.741
Ho  0.873  0.873  0.259
Ho  0.883  0.883  0.788
Er  0.374  0.374  0.519
Er  0.626  0.626  0.481
Zr  0.366  0.366  0.019
Zr  0.634  0.634  0.981

Values from the calculation:
The energy above the most stable polymorph in this dataset comes out at 0.0000 eV per atom. The value obtained for the energy of formation from the pure elements is 0.05 eV per atom. As for the space group: C2/m, No. 12.

Density functional theory data (PBE-GGA) for Ho4Er7Zr after structural relaxation.

a b c (Å): 8.419 8.419 9.162
angles (deg): 115.24 115.24 39.69
Fractional coordinates of all 12 atoms:
Ho  0.077  0.077  0.198
Ho  0.176  0.176  0.892
Ho  0.824  0.824  0.108
Ho  0.923  0.923  0.802
Er  0.000  0.000  0.500
Er  0.292  0.292  0.628
Er  0.298  0.298  0.279
Er  0.426  0.426  0.076
Er  0.574  0.574  0.924
Er  0.702  0.702  0.721
Er  0.708  0.708  0.372
Zr  0.500  0.500  0.500

Values from the calculation:
The energy above the most stable polymorph in this dataset comes out at 0.2327 eV per atom. The value obtained for the energy of formation from the pure elements is 0.26 eV per atom. As for the space group: C2/m, No. 12.

Density functional theory data (PBE-GGA) for Ho12Er2Zr after structural relaxation.

a b c (Å): 3.517 5.474 24.079
angles (deg): 90.00 92.53 90.00
Fractional coordinates of all 15 atoms:
Ho  0.148  0.000  0.124
Ho  0.234  0.500  0.445
Ho  0.252  0.500  0.941
Ho  0.272  0.000  0.577
Ho  0.302  0.500  0.670
Ho  0.351  0.500  0.803
Ho  0.649  0.500  0.197
Ho  0.698  0.500  0.330
Ho  0.728  0.000  0.423
Ho  0.748  0.500  0.059
Ho  0.766  0.500  0.555
Ho  0.852  0.000  0.876
Er  0.179  0.000  0.275
Er  0.821  0.000  0.725
Zr  0.500  0.000  0.000

Values from the calculation:
The value obtained for the energy of formation from the pure elements is 0.16 eV per atom. As for the space group: P2/m, No. 10.

Density functional theory data (PBE-GGA) for Ho2ErZr after structural relaxation.

a b c (Å): 11.274 11.274 11.274
angles (deg): 17.58 17.58 17.58
Fractional coordinates of all 4 atoms:
Ho  0.000  0.000  0.000
Ho  0.175  0.175  0.175
Er  0.754  0.754  0.754
Zr  0.588  0.588  0.588

Values from the calculation:
The energy above the most stable polymorph in this dataset comes out at 0.0159 eV per atom. The value obtained for the energy of formation from the pure elements is 0.07 eV per atom. As for the space group: R3m, No. 160.

Density functional theory data (PBE-GGA) for Ho4Er7Zr after structural relaxation.

a b c (Å): 6.079 7.040 8.639
angles (deg): 90.01 103.68 90.04
Fractional coordinates of all 12 atoms:
Ho  0.217  0.000  0.174
Ho  0.275  0.754  0.828
Ho  0.725  0.246  0.172
Ho  0.783  0.000  0.826
Er  0.000  0.500  0.500
Er  0.224  0.500  0.163
Er  0.275  0.245  0.828
Er  0.500  0.243  0.500
Er  0.500  0.757  0.500
Er  0.725  0.755  0.172
Er  0.776  0.500  0.837
Zr  0.000  0.000  0.500

Values from the calculation:
The energy above the most stable polymorph in this dataset comes out at 0.0000 eV per atom. The value obtained for the energy of formation from the pure elements is 0.02 eV per atom. As for the space group: P-1, No. 2.

Density functional theory data (PBE-GGA) for Ho14ErZr after structural relaxation.

a b c (Å): 7.004 7.004 9.878
angles (deg): 90.00 90.00 90.00
Fractional coordinates of all 16 atoms:
Ho  0.000  0.000  0.000
Ho  0.000  0.500  0.000
Ho  0.000  0.500  0.500
Ho  0.245  0.245  0.255
Ho  0.245  0.245  0.745
Ho  0.245  0.755  0.255
Ho  0.245  0.755  0.745
Ho  0.500  0.000  0.000
Ho  0.500  0.000  0.500
Ho  0.500  0.500  0.000
Ho  0.755  0.245  0.255
Ho  0.755  0.245  0.745
Ho  0.755  0.755  0.255
Ho  0.755  0.755  0.745
Er  0.500  0.500  0.500
Zr  0.000  0.000  0.500

Values from the calculation:
The value obtained for the energy of formation from the pure elements is 0.03 eV per atom. As for the space group: P4/mmm, No. 123.

Density functional theory data (PBE-GGA) for Ho5Er5Zr after structural relaxation.

a b c (Å): 9.634 9.634 6.843
angles (deg): 110.22 110.22 35.06
Fractional coordinates of all 11 atoms:
Ho  0.000  0.000  0.000
Ho  0.325  0.325  0.322
Ho  0.372  0.372  0.869
Ho  0.628  0.628  0.131
Ho  0.675  0.675  0.678
Er  0.172  0.172  0.431
Er  0.173  0.173  0.913
Er  0.500  0.500  0.500
Er  0.827  0.827  0.087
Er  0.828  0.828  0.569
Zr  0.000  0.000  0.500

Values from the calculation:
The value obtained for the energy of formation from the pure elements is 0.31 eV per atom. As for the space group: C2/m, No. 12.

Density functional theory data (PBE-GGA) for HoErZr2 after structural relaxation.

a b c (Å): 3.926 3.926 6.807
angles (deg): 90.00 90.00 90.00
Fractional coordinates of all 4 atoms:
Ho  0.000  0.000  0.000
Er  0.000  0.000  0.500
Zr  0.500  0.500  0.267
Zr  0.500  0.500  0.733

Values from the calculation:
The energy above the most stable polymorph in this dataset comes out at 0.1408 eV per atom. The value obtained for the energy of formation from the pure elements is 0.21 eV per atom. As for the space group: P4/mmm, No. 123.

Density functional theory data (PBE-GGA) for Ho2ErZr after structural relaxation.

a b c (Å): 5.474 5.474 5.474
angles (deg): 60.00 60.00 60.00
Fractional coordinates of all 4 atoms:
Ho  0.250  0.250  0.250
Ho  0.750  0.750  0.750
Er  0.000  0.000  0.000
Zr  0.500  0.500  0.500

Values from the calculation:
The energy above the most stable polymorph in this dataset comes out at 0.1523 eV per atom. The value obtained for the energy of formation from the pure elements is 0.20 eV per atom. As for the space group: Fm-3m, No. 225.

Density functional theory data (PBE-GGA) for Ho2ErZr after structural relaxation.

a b c (Å): 4.838 4.838 4.830
angles (deg): 90.00 90.00 90.00
Fractional coordinates of all 4 atoms:
Ho  0.000  0.500  0.000
Ho  0.500  0.000  0.000
Er  0.000  0.000  0.500
Zr  0.500  0.500  0.500

Values from the calculation:
The energy above the most stable polymorph in this dataset comes out at 0.0325 eV per atom. The value obtained for the energy of formation from the pure elements is 0.08 eV per atom. As for the space group: P4/mmm, No. 123.